[1]
Computed, not measured: a relaxed structure of AsRu2Pb at the GGA-PBE level of DFT.

For the total energy, the calculation gives -25.5 eV/cell. Its energy relative to the lowest polymorph listed for this composition is 0.1518 eV per atom. As for the space group: P4/mmm, No. 123. Its formation energy is 0.3468 eV/atom. The value obtained for the total moment is 0.0 μB per formula unit.

a b c (Å): 4.555 4.555 3.237
angles (deg): 90.00 90.00 90.00
Atoms (fractional coordinates):
1 As 0.000 0.000 0.000
2 Ru 0.000 0.500 0.500
3 Ru 0.500 0.000 0.500
4 Pb 0.500 0.500 0.000

=====

[2]
Computed, not measured: a relaxed structure of CuW2Br at the GGA-PBE level of DFT.

For the total energy, the calculation gives -53.4 eV/cell. Its energy relative to the lowest polymorph listed for this composition is 0.7111 eV per atom. The uncorrected formation energy comes out at 1.24 eV per atom. As for the space group: Cmmm, No. 65. The value obtained for the total moment is 0.0 μB per formula unit.

a b c (Å): 5.363 8.539 2.834
angles (deg): 90.00 90.00 90.00
Atoms (fractional coordinates):
1 Cu 0.000 0.000 0.000
2 Cu 0.500 0.500 0.000
3 W 0.250 0.250 0.500
4 W 0.250 0.750 0.500
5 W 0.750 0.250 0.500
6 W 0.750 0.750 0.500
7 Br 0.000 0.500 0.000
8 Br 0.500 0.000 0.000

=====

[3]
Computed, not measured: a relaxed structure of Li2CdIn at the GGA-PBE level of DFT.

For the total energy, the calculation gives -8.3 eV/cell. As for the space group: Pmm2, No. 25. Its formation energy is -0.2132 eV/atom. The value obtained for the total moment is 0.0 μB per formula unit.

a b c (Å): 3.299 3.642 6.559
angles (deg): 90.00 90.00 90.00
Atoms (fractional coordinates):
1 Li 0.000 0.000 0.000
2 Li 0.500 0.500 0.238
3 Cd 0.000 0.000 0.452
4 In 0.500 0.500 0.761